No. 1
CaSb2Pb: relaxed, PBE.

Output
Total magnetization ... 0.000 μB per atom
Raw total energy ... -62.22 eV/cell
Uncorrected formation energy ... -0.400 eV/atom
N(E_F) ... 0.53 states/eV per atom

Cell: 6.7768 8.1184 8.5445 Å, 90.00 90.00 90.00°
With the nearest neighbours (Å) after each atom.
Sites, in units of the cell vectors:
Ca (0.0000, 0.0000, 0.2500)  2 Pb 3.39, 8 Sb 3.39-3.41
Ca (0.0000, 0.0000, 0.7500)  2 Pb 3.39, 8 Sb 3.39-3.41
Ca (0.5000, 0.5000, 0.2500)  2 Pb 3.39, 8 Sb 3.39-3.41
Ca (0.5000, 0.5000, 0.7500)  2 Pb 3.39, 8 Sb 3.39-3.41
Sb (0.2380, 0.2564, 0.0000)  4 Pb 3.33-3.47, 2 Sb 3.39, 4 Ca 3.39-3.41
Sb (0.2380, 0.7436, 0.5000)  4 Pb 3.33-3.47, 2 Sb 3.39, 4 Ca 3.39-3.41
Sb (0.2620, 0.2436, 0.5000)  4 Pb 3.33-3.47, 2 Sb 3.39, 4 Ca 3.39-3.41
Sb (0.2620, 0.7564, 0.0000)  4 Pb 3.33-3.47, 2 Sb 3.39, 4 Ca 3.39-3.41
Sb (0.7380, 0.2436, 0.0000)  4 Pb 3.33-3.47, 2 Sb 3.39, 4 Ca 3.39-3.41
Sb (0.7380, 0.7564, 0.5000)  4 Pb 3.33-3.47, 2 Sb 3.39, 4 Ca 3.39-3.41
Sb (0.7620, 0.2564, 0.5000)  4 Pb 3.33-3.47, 2 Sb 3.39, 4 Ca 3.39-3.41
Sb (0.7620, 0.7436, 0.0000)  4 Pb 3.33-3.47, 2 Sb 3.39, 4 Ca 3.39-3.41
Pb (0.0000, 0.5000, 0.2500)  8 Sb 3.33-3.47, 2 Ca 3.39
Pb (0.0000, 0.5000, 0.7500)  8 Sb 3.33-3.47, 2 Ca 3.39
Pb (0.5000, 0.0000, 0.2500)  8 Sb 3.33-3.47, 2 Ca 3.39
Pb (0.5000, 0.0000, 0.7500)  8 Sb 3.33-3.47, 2 Ca 3.39

---

No. 2
CaSb2Pb: relaxed, PBE.

Output
Total magnetization ... 0.000 μB per atom
Raw total energy ... -31.27 eV/cell
Uncorrected formation energy ... -0.420 eV/atom
N(E_F) ... 0.13 states/eV per atom

Cell: 11.9212 4.7115 4.6606 Å, 90.00 109.25 90.00°
With the nearest neighbours (Å) after each atom.
Sites, in units of the cell vectors:
Ca (0.0000, 0.0000, 0.0000)  7 Sb 3.29-3.51, 1 Pb 3.39
Ca (0.5000, 0.5000, 0.0000)  7 Sb 3.29-3.51, 1 Pb 3.39
Sb (0.2771, 0.0000, 0.9597)  1 Sb 2.97, 2 Pb 3.18
Sb (0.4995, 0.0000, 0.4913)  1 Sb 2.97, 1 Pb 3.16, 2 Ca 3.29
Sb (0.7771, 0.5000, 0.9597)  1 Sb 2.97, 2 Pb 3.18
Sb (0.9995, 0.5000, 0.4913)  1 Sb 2.97, 1 Pb 3.16, 2 Ca 3.29
Pb (0.2481, 0.5000, 0.3877)  5 Sb 3.16-3.49, 1 Ca 3.39
Pb (0.7481, 0.0000, 0.3877)  5 Sb 3.16-3.49, 1 Ca 3.39